# 1
Density functional theory data (PBE-GGA) for a relaxed structure of PrYSiAg. Values from VASP.

```
&SYSTEM
  ibrav = 0, nat = 4, ntyp = 4
/
ATOMIC_SPECIES
Pr 140.91 Pr.upf
Si 28.09 Si.upf
Ag 107.87 Ag.upf
Y 88.91 Y.upf
ATOMIC_POSITIONS crystal
Pr 0.000 0.000 0.000
Si 0.750 0.750 0.750
Ag 0.250 0.250 0.250
Y 0.500 0.500 0.500
CELL_PARAMETERS angstrom
-4.022 -2.439 2.131
-1.234 -4.773 -1.536
0.789 -4.012 3.154
```

Properties
D(E_F): 3.521 states/eV per cell
VASP energy: -21.2 eV/f.u.



# 2
Density functional theory data (PBE-GGA) for a relaxed structure of MnCdBr2. Values from VASP.

```
&SYSTEM
  ibrav = 0, nat = 4, ntyp = 3
/
ATOMIC_SPECIES
Br 79.90 Br.upf
Mn 54.94 Mn.upf
Cd 112.41 Cd.upf
ATOMIC_POSITIONS crystal
Br 0.000 0.000 0.000
Mn 0.500 0.500 0.000
Cd 0.000 0.500 0.500
Br 0.500 0.000 0.500
CELL_PARAMETERS angstrom
9.055 -0.591 -1.401
-5.089 4.695 0.680
-1.124 1.314 3.116
```

Properties
D(E_F): 1.824 states/eV per cell
VASP energy: -13.3 eV/f.u.
E above lowest polymorph: 0.483 eV/atom



# 3
Density functional theory data (PBE-GGA) for a relaxed structure of AgRu2Pb. Values from VASP.

```
&SYSTEM
  ibrav = 0, nat = 4, ntyp = 3
/
ATOMIC_SPECIES
Ag 107.87 Ag.upf
Ru 101.07 Ru.upf
Pb 207.20 Pb.upf
ATOMIC_POSITIONS crystal
Ag 0.511 0.511 0.000
Ru 0.776 0.276 0.500
Pb 0.230 0.730 0.500
Ru 0.983 0.983 0.000
CELL_PARAMETERS angstrom
-4.885 -1.657 -2.619
-0.168 -4.573 -3.539
0.954 2.252 5.243
```

Properties
D(E_F): 3.667 states/eV per cell
ΔH_f (0 K): 0.612 eV per atom
VASP energy: -22.7 eV/f.u.



# 4
Density functional theory data (PBE-GGA) for a relaxed structure of HfGa3Cl. Values from VASP.

```
&SYSTEM
  ibrav = 0, nat = 5, ntyp = 3
/
ATOMIC_SPECIES
Hf 178.49 Hf.upf
Ga 69.72 Ga.upf
Cl 35.45 Cl.upf
ATOMIC_POSITIONS crystal
Hf 0.000 0.000 0.000
Ga 0.000 0.000 0.500
Cl 0.500 0.500 0.500
Ga 0.000 0.500 0.000
Ga 0.500 0.000 0.000
CELL_PARAMETERS angstrom
5.403 0.000 0.000
0.000 5.403 0.000
0.000 0.000 5.403
```

Properties
D(E_F): 5.052 states/eV per cell
VASP energy: -18.3 eV/f.u.
E above lowest polymorph: 0.000 eV/atom



# 5
Density functional theory data (PBE-GGA) for a relaxed structure of Na2LiSe2O6. Values from VASP.

```
&SYSTEM
  ibrav = 0, nat = 11, ntyp = 4
/
ATOMIC_SPECIES
Na 22.99 Na.upf
O 16.00 O.upf
Li 6.94 Li.upf
Se 78.96 Se.upf
ATOMIC_POSITIONS crystal
Na 0.333 0.667 0.402
O 0.930 0.297 0.226
O 0.070 0.703 0.774
Na 0.667 0.333 0.598
O 0.633 0.930 0.774
O 0.367 0.070 0.226
Li 0.000 0.000 0.000
Se 0.333 0.667 0.895
O 0.297 0.367 0.774
Se 0.667 0.333 0.105
O 0.703 0.633 0.226
CELL_PARAMETERS angstrom
5.511 0.000 0.000
-2.756 4.773 0.000
0.000 0.000 6.058
```

Properties
D(E_F): 5.180 states/eV per cell
VASP energy: -54.5 eV/f.u.



# 6
Density functional theory data (PBE-GGA) for a relaxed structure of RbUCuSe3. Values from VASP.

```
&SYSTEM
  ibrav = 0, nat = 12, ntyp = 4
/
ATOMIC_SPECIES
Se 78.96 Se.upf
Cu 63.55 Cu.upf
Rb 85.47 Rb.upf
U 238.03 U.upf
ATOMIC_POSITIONS crystal
Se 0.380 0.760 0.561
Cu 0.531 0.063 0.250
Cu 0.469 0.937 0.750
Se 0.062 0.123 0.750
Se 0.620 0.240 0.439
Se 0.380 0.760 0.939
Rb 0.255 0.510 0.250
Rb 0.745 0.490 0.750
Se 0.938 0.877 0.250
U 0.000 0.000 0.500
U 0.000 0.000 0.000
Se 0.620 0.240 0.061
CELL_PARAMETERS angstrom
4.127 0.001 0.000
-2.064 7.727 0.000
0.000 0.000 10.711
```

Properties
D(E_F): 4.122 states/eV per cell
VASP energy: -33.2 eV/f.u.